# ThZrB | Alexandria via LeMat-Bulk | PBE | relaxed
# Formation enthalpy at 0 K   -6.7 kJ per mole of atoms
# Volume   20.1 A^3/atom
# Raw total energy   -7.62 eV/atom
# Magnetization   0.00 Bohr magnetons per cell
data_ThZrB
_chemical_formula_sum 'Th6 Zr6 B6'
_symmetry_space_group_name_H-M 'P 1'
_symmetry_Int_Tables_number 1
_cell_length_a 7.2812
_cell_length_b 3.6765
_cell_length_c 13.6441
_cell_angle_alpha 90.00
_cell_angle_beta 97.49
_cell_angle_gamma 90.00
loop_
_symmetry_equiv_pos_as_xyz
'x,y,z'
loop_
_atom_site_label
_atom_site_fract_x
_atom_site_fract_y
_atom_site_fract_z
_atom_site_occupancy
Th1 0.0121 0.2500 0.3579 1
Th2 0.1282 0.7500 0.9276 1
Th3 0.4447 0.7500 0.7104 1
Th4 0.5553 0.2500 0.2896 1
Th5 0.8718 0.2500 0.0724 1
Th6 0.9879 0.7500 0.6421 1
Zr1 0.1897 0.7500 0.1967 1
Zr2 0.3422 0.2500 0.5159 1
Zr3 0.4620 0.2500 0.9097 1
Zr4 0.5380 0.7500 0.0903 1
Zr5 0.6578 0.7500 0.4841 1
Zr6 0.8103 0.2500 0.8033 1
B1 0.1592 0.2500 0.7826 1
B2 0.3054 0.2500 0.0880 1
B3 0.3360 0.7500 0.3840 1
B4 0.6640 0.2500 0.6160 1
B5 0.6946 0.7500 0.9120 1
B6 0.8408 0.7500 0.2174 1

---

# Ba2CrSn | Alexandria via LeMat-Bulk | PBE | relaxed
# Formation enthalpy at 0 K   71.9 kJ per mole of atoms
# Volume   34.7 A^3/atom
# Raw total energy   -3.62 eV/atom
# Magnetization   0.21 Bohr magnetons per cell
data_Ba2CrSn
_chemical_formula_sum 'Ba2 Cr1 Sn1'
_symmetry_space_group_name_H-M 'P 1'
_symmetry_Int_Tables_number 1
_cell_length_a 5.8130
_cell_length_b 5.8130
_cell_length_c 5.8130
_cell_angle_alpha 60.00
_cell_angle_beta 60.00
_cell_angle_gamma 60.00
loop_
_symmetry_equiv_pos_as_xyz
'x,y,z'
loop_
_atom_site_label
_atom_site_fract_x
_atom_site_fract_y
_atom_site_fract_z
_atom_site_occupancy
Ba1 0.2500 0.2500 0.2500 1
Ba2 0.7500 0.7500 0.7500 1
Cr1 0.0000 0.0000 0.0000 1
Sn1 0.5000 0.5000 0.5000 1

---

# Hf2MgPb | Alexandria via LeMat-Bulk | PBE | relaxed
# Formation enthalpy at 0 K   45.7 kJ per mole of atoms
# Volume   26.1 A^3/atom
# Raw total energy   -5.83 eV/atom
# Magnetization   0.00 Bohr magnetons per cell
data_Hf2MgPb
_chemical_formula_sum 'Hf2 Mg1 Pb1'
_symmetry_space_group_name_H-M 'P 1'
_symmetry_Int_Tables_number 1
_cell_length_a 5.7376
_cell_length_b 5.7376
_cell_length_c 5.7376
_cell_angle_alpha 50.77
_cell_angle_beta 50.77
_cell_angle_gamma 50.77
loop_
_symmetry_equiv_pos_as_xyz
'x,y,z'
loop_
_atom_site_label
_atom_site_fract_x
_atom_site_fract_y
_atom_site_fract_z
_atom_site_occupancy
Hf1 0.0000 0.0000 0.0000 1
Hf2 0.2144 0.2144 0.2144 1
Mg1 0.7888 0.7888 0.7888 1
Pb1 0.5946 0.5946 0.5946 1

---

The lowest raw total energy belongs to which entry?
ThZrB